(1)
Na2Te5As2, optimized geometry, DFT PBE; ΔE to the lowest computed polymorph = 0.784 kcal/mol of atoms; energy relative to the elements, uncorrected = -0.24 eV per atom
1.0
-8.433 4.180 4.341
8.433 -4.180 4.341
8.433 4.180 -4.341
Na Te As
4 10 4
Direct
0.005 0.126 0.131 Na
0.005 0.374 0.379 Na
0.995 0.626 0.621 Na
0.995 0.874 0.869 Na
0.184 0.473 0.972 Te
0.184 0.712 0.211 Te
0.498 0.270 0.357 Te
0.498 0.641 0.728 Te
0.501 0.212 0.028 Te
0.501 0.973 0.789 Te
0.512 0.499 0.512 Te
0.913 0.141 0.643 Te
0.913 0.770 0.272 Te
0.987 0.999 0.488 Te
0.442 0.204 0.738 As
0.466 0.704 0.262 As
0.501 0.001 0.500 As
0.501 0.501 0.000 As


(2)
HfMg2Zr2, optimized geometry, DFT PBE; DFT formation energy = 0.2649 eV/atom; ΔE to the lowest computed polymorph = 6.816 kcal/mol of atoms
1.0
8.173 0.000 0.000
0.000 8.173 0.000
0.000 0.000 3.331
Hf Mg Zr
2 4 4
Direct
0.000 0.000 0.000 Hf
0.500 0.500 0.000 Hf
0.123 0.377 0.000 Mg
0.377 0.877 0.000 Mg
0.623 0.123 0.000 Mg
0.877 0.623 0.000 Mg
0.176 0.676 0.500 Zr
0.324 0.176 0.500 Zr
0.676 0.824 0.500 Zr
0.824 0.324 0.500 Zr


(3)
BaZn2O2, optimized geometry, DFT PBE; ΔE to the lowest computed polymorph = 0.000 kcal/mol of atoms; energy relative to the elements, uncorrected = -1.04 eV per atom
1.0
3.590 0.000 0.000
0.000 3.590 0.000
0.000 0.000 12.399
Ba Zn O
2 4 4
Direct
0.000 0.000 0.000 Ba
0.500 0.500 0.500 Ba
0.000 0.500 0.250 Zn
0.000 0.500 0.750 Zn
0.500 0.000 0.250 Zn
0.500 0.000 0.750 Zn
0.000 0.000 0.377 O
0.000 0.000 0.623 O
0.500 0.500 0.123 O
0.500 0.500 0.877 O


(4)
RbCr2GePt, optimized geometry, DFT PBE; DFT formation energy = 0.5536 eV/atom; ΔE to the lowest computed polymorph = 0.000 kcal/mol of atoms
1.0
5.327 0.000 0.000
0.000 5.327 0.000
0.000 0.000 4.704
Rb Cr Ge Pt
1 2 1 1
Direct
0.000 0.000 0.000 Rb
0.000 0.500 0.500 Cr
0.500 0.000 0.500 Cr
0.500 0.500 0.000 Ge
0.500 0.500 0.500 Pt


(5)
AcNdTl2S4, optimized geometry, DFT PBE; energy relative to the elements, uncorrected = -1.47 eV per atom
1.0
7.470 0.000 0.000
0.000 4.308 0.000
-2.481 0.000 7.467
Ac Nd Tl S
1 1 2 4
Direct
0.000 0.000 0.000 Ac
0.500 0.500 0.000 Nd
0.000 0.500 0.500 Tl
0.500 0.000 0.500 Tl
0.247 0.500 0.209 S
0.275 0.000 0.795 S
0.725 0.000 0.205 S
0.753 0.500 0.791 S


(6)
K2Tl2Se, optimized geometry, DFT PBE; ΔE to the lowest computed polymorph = 2.409 kcal/mol of atoms; energy relative to the elements, uncorrected = -0.20 eV per atom
1.0
8.070 0.000 0.000
0.000 8.070 0.000
0.000 0.000 6.008
K Tl Se
4 4 2
Direct
0.153 0.347 0.000 K
0.347 0.847 0.000 K
0.653 0.153 0.000 K
0.847 0.653 0.000 K
0.163 0.663 0.500 Tl
0.337 0.163 0.500 Tl
0.663 0.837 0.500 Tl
0.837 0.337 0.500 Tl
0.000 0.000 0.000 Se
0.500 0.500 0.000 Se


Question: Number 1 is which compound?
Answer: Na2Te5As2


Question: Number 4 is which compound?
Answer: RbCr2GePt


Question: Which formula does entry 2 have?
Answer: HfMg2Zr2


What did the third record say?
BaZn2O2, optimized geometry, DFT PBE; ΔE to the lowest computed polymorph = 0.000 kcal/mol of atoms; energy relative to the elements, uncorrected = -1.04 eV per atom
1.0
3.590 0.000 0.000
0.000 3.590 0.000
0.000 0.000 12.399
Ba Zn O
2 4 4
Direct
0.000 0.000 0.000 Ba
0.500 0.500 0.500 Ba
0.000 0.500 0.250 Zn
0.000 0.500 0.750 Zn
0.500 0.000 0.250 Zn
0.500 0.000 0.750 Zn
0.000 0.000 0.377 O
0.000 0.000 0.623 O
0.500 0.500 0.123 O
0.500 0.500 0.877 O